First-principles (PBE) data for Sc6SnC3 after structural relaxation, as listed in Alexandria.

Output
**Total magnetization**: 0.00 μB per cell
**Formation energy**: -0.4731 eV per atom
**Total energy**: -74.40 eV per cell

Cell: 6.5161 6.5161 6.5161 Å, 55.34 55.34 55.34°
Sites, in units of the cell vectors:
Sc  0.0028  0.3393  0.6579
Sc  0.0346  0.9628  0.4853
Sc  0.3393  0.6579  0.0028
Sc  0.4853  0.0346  0.9628
Sc  0.6579  0.0028  0.3393
Sc  0.9628  0.4853  0.0346
Sn  0.5092  0.5092  0.5092
C  0.0695  0.0695  0.0695
C  0.2643  0.2643  0.2643
C  0.7379  0.7379  0.7379